No. 1
Compound: CeTm4Mg15
Source: Alexandria via LeMat-Bulk
Functional: GGA-PBE
Structure: optimized geometry

Calculated values
- N(E_F): 21.0 states/eV/cell
- Total magnetic moment: 1.24 Bohr magnetons per cell
- DFT formation energy: -37 kJ/mol of formula units
- Density: 3.9 Mg/m³

abc: 4.688 4.688 22.844
angles: 90.00 90.00 90.00
Element x y z (fractional)
Mg 0.500 0.000 0.500
Mg 0.500 0.500 0.599
Tm 0.000 0.000 0.797
Mg 0.500 0.000 0.697
Mg 0.500 0.500 0.000
Mg 0.500 0.000 0.303
Mg 0.500 0.500 0.204
Mg 0.000 0.500 0.697
Mg 0.500 0.500 0.401
Tm 0.000 0.000 0.402
Tm 0.000 0.000 0.203
Mg 0.000 0.500 0.896
Mg 0.000 0.500 0.104
Mg 0.500 0.000 0.896
Tm 0.000 0.000 0.598
Mg 0.500 0.500 0.796
Ce 0.000 0.000 0.000
Mg 0.000 0.500 0.500
Mg 0.500 0.000 0.104
Mg 0.000 0.500 0.303



No. 2
Compound: Pm2Y2Sb2C
Source: Alexandria via LeMat-Bulk
Functional: GGA-PBE
Structure: optimized geometry

Calculated values
- N(E_F): 6.8 states/eV/cell
- Total magnetic moment: 0.00 Bohr magnetons per cell
- Final energy: -45.760 eV for the cell shown
- Density: 6.4 Mg/m³

abc: 4.793 4.793 8.804
angles: 105.80 105.80 90.00
Element x y z (fractional)
Y 0.500 0.000 0.000
Pm 0.838 0.838 0.676
Sb 0.362 0.362 0.723
Pm 0.162 0.162 0.324
Sb 0.638 0.638 0.277
C 0.000 0.000 0.000
Y 0.000 0.500 0.000



No. 3
Compound: MgPaCo
Source: Alexandria via LeMat-Bulk
Functional: GGA-PBE
Structure: optimized geometry

Calculated values
- N(E_F): 6.3 states/eV/cell
- Total magnetic moment: 0.00 Bohr magnetons per cell
- DFT formation energy: -13 kJ/mol of formula units
- Relative energy among the computed polymorphs: 34.7 meV per atom
- Density: 8.0 Mg/m³

abc: 3.706 5.017 7.220
angles: 90.01 104.97 90.00
Element x y z (fractional)
Co 0.182 0.750 0.364
Pa 0.181 0.250 0.363
Pa 0.819 0.750 0.637
Co 0.818 0.250 0.636
Mg 0.554 0.750 0.109
Mg 0.446 0.250 0.891



No. 4
Compound: DyTl2Te4As
Source: Alexandria via LeMat-Bulk
Functional: GGA-PBE
Structure: optimized geometry

Calculated values
- N(E_F): 0.1 states/eV/cell
- Total magnetic moment: 0.00 Bohr magnetons per cell
- Final energy: -31.062 eV for the cell shown
- Density: 7.1 Mg/m³

abc: 4.376 8.449 7.622
angles: 72.48 90.00 90.00
Element x y z (fractional)
Te 0.000 0.701 0.778
Tl 0.500 0.000 0.500
Tl 0.000 0.000 0.000
Te 0.500 0.292 0.749
Te 0.000 0.299 0.222
Dy 0.000 0.500 0.500
Te 0.500 0.708 0.251
As 0.500 0.500 0.000



No. 5
Compound: VTeRu3
Source: Alexandria via LeMat-Bulk
Functional: GGA-PBE
Structure: optimized geometry

Calculated values
- N(E_F): 8.1 states/eV/cell
- Total magnetic moment: 0.67 Bohr magnetons per cell
- Relative energy among the computed polymorphs: 0.0 meV per atom
- Density: 8.7 Mg/m³

abc: 4.519 4.519 4.519
angles: 90.00 90.00 90.00
Element x y z (fractional)
Te 0.500 0.500 0.500
V 0.000 0.000 0.000
Ru 0.000 0.000 0.500
Ru 0.000 0.500 0.000
Ru 0.500 0.000 0.000



No. 6
Compound: CeCdPtRh
Source: Alexandria via LeMat-Bulk
Functional: GGA-PBE
Structure: optimized geometry

Calculated values
- N(E_F): 4.4 states/eV/cell
- Total magnetic moment: 0.11 Bohr magnetons per cell
- DFT formation energy: -244 kJ/mol of formula units
- Density: 11.6 Mg/m³

abc: 4.809 4.809 4.809
angles: 60.00 60.00 60.00
Element x y z (fractional)
Cd 0.500 0.500 0.500
Pt 0.750 0.750 0.750
Ce 0.000 0.000 0.000
Rh 0.250 0.250 0.250



No. 7
Compound: Nb3CuPb
Source: Alexandria via LeMat-Bulk
Functional: GGA-PBE
Structure: optimized geometry

Calculated values
- N(E_F): 2.0 states/eV/cell
- Total magnetic moment: 0.00 Bohr magnetons per cell
- DFT formation energy: 1077 kJ/mol of formula units
- Relative energy among the computed polymorphs: 1368.0 meV per atom
- Density: 6.7 Mg/m³

abc: 5.138 5.138 5.138
angles: 90.00 90.00 90.00
Element x y z (fractional)
Cu 0.500 0.500 0.500
Nb 0.000 0.500 0.000
Nb 0.000 0.000 0.500
Nb 0.500 0.000 0.000
Pb 0.000 0.000 0.000



No. 8
Compound: Mn2FeTc
Source: Alexandria via LeMat-Bulk
Functional: GGA-PBE
Structure: optimized geometry

Calculated values
- N(E_F): 4.2 states/eV/cell
- Total magnetic moment: 0.73 Bohr magnetons per cell
- DFT formation energy: 30 kJ/mol of formula units
- Density: 9.0 Mg/m³

abc: 2.587 3.626 5.169
angles: 90.00 90.00 90.00
Element x y z (fractional)
Mn 0.500 0.500 0.239
Fe 0.500 0.500 0.756
Tc 0.000 0.000 0.505
Mn 0.000 0.000 0.001



No. 9
Compound: NaAc2MgHg6
Source: Alexandria via LeMat-Bulk
Functional: GGA-PBE
Structure: optimized geometry

Calculated values
- N(E_F): 7.5 states/eV/cell
- Total magnetic moment: 0.00 Bohr magnetons per cell
- DFT formation energy: -87 kJ/mol of formula units
- Density: 9.5 Mg/m³

abc: 7.486 7.486 7.486
angles: 60.00 60.00 90.00
Element x y z (fractional)
Hg 0.752 0.752 0.000
Na 0.500 0.500 0.000
Hg 0.248 0.752 0.000
Mg 0.000 0.000 0.000
Hg 0.752 0.752 0.496
Hg 0.752 0.248 0.000
Ac 0.750 0.250 0.500
Ac 0.250 0.750 0.500
Hg 0.248 0.248 0.000
Hg 0.248 0.248 0.504



No. 10
Compound: LuPaGaRu
Source: Alexandria via LeMat-Bulk
Functional: GGA-PBE
Structure: optimized geometry

Calculated values
- N(E_F): 4.6 states/eV/cell
- Total magnetic moment: 0.00 Bohr magnetons per cell
- DFT formation energy: -124 kJ/mol of formula units
- Density: 11.5 Mg/m³

abc: 4.904 4.904 4.904
angles: 60.00 60.00 60.00
Element x y z (fractional)
Pa 0.250 0.250 0.250
Ga 0.500 0.500 0.500
Ru 0.000 0.000 0.000
Lu 0.750 0.750 0.750



No. 11
Compound: AlAg5
Source: Alexandria via LeMat-Bulk
Functional: GGA-PBE
Structure: optimized geometry

Calculated values
- N(E_F): 1.9 states/eV/cell
- Total magnetic moment: 0.00 Bohr magnetons per cell
- DFT formation energy: -4 kJ/mol of formula units
- Relative energy among the computed polymorphs: 20.4 meV per atom
- Density: 9.0 Mg/m³

abc: 2.894 8.874 4.089
angles: 90.00 90.00 90.00
Element x y z (fractional)
Ag 0.500 0.163 0.500
Ag 0.500 0.504 0.500
Ag 0.000 0.673 0.000
Al 0.500 0.833 0.500
Ag 0.000 0.993 0.000
Ag 0.000 0.333 0.000



No. 12
Compound: MgNiH
Source: Alexandria via LeMat-Bulk
Functional: GGA-PBE
Structure: optimized geometry

Calculated values
- N(E_F): 2.7 states/eV/cell
- Total magnetic moment: 0.00 Bohr magnetons per cell
- Relative energy among the computed polymorphs: 32.5 meV per atom
- Density: 4.4 Mg/m³

abc: 3.159 3.159 6.380
angles: 90.00 90.00 90.00
Element x y z (fractional)
H 0.000 0.500 0.000
Ni 0.500 0.500 0.500
Mg 0.000 0.000 0.750
Ni 0.500 0.500 0.000
H 0.500 0.000 0.500
Mg 0.000 0.000 0.250



No. 13
Compound: MgHgSb2
Source: Alexandria via LeMat-Bulk
Functional: GGA-PBE
Structure: optimized geometry

Calculated values
- N(E_F): 1.7 states/eV/cell
- Total magnetic moment: 0.00 Bohr magnetons per cell
- Relative energy among the computed polymorphs: 89.4 meV per atom
- Density: 7.7 Mg/m³

abc: 5.410 5.410 3.551
angles: 90.00 90.00 102.50
Element x y z (fractional)
Sb 0.500 0.500 0.000
Mg 0.000 0.500 0.500
Sb 0.000 0.000 0.000
Hg 0.500 0.000 0.500



No. 14
Compound: Th4GaAs2S
Source: Alexandria via LeMat-Bulk
Functional: GGA-PBE
Structure: optimized geometry

Calculated values
- N(E_F): 4.7 states/eV/cell
- Total magnetic moment: 0.00 Bohr magnetons per cell
- Final energy: -56.022 eV for the cell shown
- Density: 9.2 Mg/m³

abc: 4.237 7.365 7.257
angles: 70.49 90.00 90.00
Element x y z (fractional)
S 0.500 0.500 0.000
Th 0.500 0.748 0.248
Th 0.500 0.252 0.752
Th 0.000 0.255 0.246
As 0.000 0.000 0.000
Th 0.000 0.745 0.754
As 0.500 0.000 0.500
Ga 0.000 0.500 0.500



No. 15
Compound: TlSb2Pb
Source: Alexandria via LeMat-Bulk
Functional: GGA-PBE
Structure: optimized geometry

Calculated values
- N(E_F): 1.0 states/eV/cell
- Total magnetic moment: 0.00 Bohr magnetons per cell
- Final energy: -13.717 eV for the cell shown
- Density: 9.3 Mg/m³

abc: 11.919 11.919 11.919
angles: 16.37 16.37 16.37
Element x y z (fractional)
Sb 0.996 0.996 0.996
Tl 0.502 0.502 0.502
Sb 0.253 0.253 0.253
Pb 0.749 0.749 0.749



No. 16
Compound: TbPmTh2N4
Source: Alexandria via LeMat-Bulk
Functional: GGA-PBE
Structure: optimized geometry

Calculated values
- N(E_F): 2.9 states/eV/cell
- Total magnetic moment: 0.00 Bohr magnetons per cell
- Final energy: -70.099 eV for the cell shown
- Density: 10.2 Mg/m³

abc: 3.624 6.277 6.232
angles: 109.59 90.00 90.00
Element x y z (fractional)
N 0.500 0.753 0.747
Tb 0.000 0.000 0.000
Pm 0.500 0.500 0.000
Th 0.500 0.000 0.500
Th 0.000 0.500 0.500
N 0.000 0.243 0.743
N 0.500 0.247 0.253
N 0.000 0.757 0.257



No. 17
Compound: LaSm2Th
Source: Alexandria via LeMat-Bulk
Functional: GGA-PBE
Structure: optimized geometry

Calculated values
- N(E_F): 8.8 states/eV/cell
- Total magnetic moment: 0.00 Bohr magnetons per cell
- DFT formation energy: 62 kJ/mol of formula units
- Relative energy among the computed polymorphs: 137.8 meV per atom
- Density: 8.1 Mg/m³

abc: 5.787 5.787 5.787
angles: 60.00 60.00 60.00
Element x y z (fractional)
La 0.000 0.000 0.000
Sm 0.750 0.750 0.750
Th 0.500 0.500 0.500
Sm 0.250 0.250 0.250



No. 18
Compound: TaCr2Sb
Source: Alexandria via LeMat-Bulk
Functional: GGA-PBE
Structure: optimized geometry

Calculated values
- N(E_F): 4.1 states/eV/cell
- Total magnetic moment: 0.00 Bohr magnetons per cell
- Relative energy among the computed polymorphs: 194.6 meV per atom
- Density: 10.6 Mg/m³

abc: 3.003 3.003 7.050
angles: 90.00 90.00 90.00
Element x y z (fractional)
Cr 0.500 0.500 0.210
Cr 0.000 0.000 0.036
Sb 0.000 0.000 0.464
Ta 0.500 0.500 0.790